1.
Here is LaMn2As after structural relaxation from Alexandria via LeMat-Bulk. Energies are from PBEsol.

Results
Energy of formation from the pure elements ... -0.6 kJ/mol of atoms

Structure (CIF):
```
data_LaMn2As
_space_group_name_H-M_alt 'P 4 m m'
_space_group_IT_number 99
_space_group_name_Hall 'P 4 -2'
_cell_length_a 3.244
_cell_length_b 3.244
_cell_length_c 6.860
_cell_angle_alpha 90.00
_cell_angle_beta 90.00
_cell_angle_gamma 90.00
loop_
_atom_site_label
_atom_site_type_symbol
_atom_site_fract_x
_atom_site_fract_y
_atom_site_fract_z
La1 La 0.000 0.000 0.000
Mn1 Mn 0.000 0.000 0.489
Mn2 Mn 0.500 0.500 0.320
As1 As 0.500 0.500 0.678
```

=====

2.
Here is LaMnAs3 after structural relaxation from Alexandria via LeMat-Bulk. Energies are from PBEsol.

Results
Energy of formation from the pure elements ... -41.4 kJ/mol of atoms

Structure (CIF):
```
data_LaMnAs3
_space_group_name_H-M_alt 'P m -3 m'
_space_group_IT_number 221
_space_group_name_Hall '-P 4 2 3'
_cell_length_a 4.713
_cell_length_b 4.713
_cell_length_c 4.713
_cell_angle_alpha 90.00
_cell_angle_beta 90.00
_cell_angle_gamma 90.00
loop_
_atom_site_label
_atom_site_type_symbol
_atom_site_fract_x
_atom_site_fract_y
_atom_site_fract_z
La1 La 0.000 0.000 0.000
Mn1 Mn 0.500 0.500 0.500
As1 As 0.000 0.500 0.500
```